Entry 1:
Li2ScIr | PBE-GGA | relaxed

```
Li2ScIr
1.0
3.3828 0.0000 0.0000
0.0000 3.3828 0.0000
0.0000 0.0000 5.3343
Ir Li Sc
1 2 1
Direct
0.5000 0.5000 0.7500
0.0000 0.0000 0.9543
0.0000 0.0000 0.5457
0.5000 0.5000 0.2500
```

space group	No. 123
energy	-4.84	eV/atom
energy relative to the lowest polymorph listed for this composition	276	meV/atom
formation energy from the elements	-0.09	eV per atom

---

Entry 2:
Li2ScIr | PBE-GGA | relaxed

```
Li2ScIr
1.0
3.1997 0.0000 0.0000
0.0000 3.1997 0.0000
0.0000 0.0000 6.7575
Ir Li Sc
1 2 1
Direct
0.5000 0.5000 0.7673
0.0000 0.0000 0.9783
0.5000 0.5000 0.2003
0.0000 0.0000 0.5541
```

space group	No. 99
energy	-5.08	eV/atom
energy relative to the lowest polymorph listed for this composition	41	meV/atom
formation energy from the elements	-0.32	eV per atom